No. 1
# GdYTmRu | Alexandria via LeMat-Bulk | PBE | optimized geometry
data_GdYTmRu
_chemical_formula_sum 'Gd4 Y4 Tm4 Ru4'
_space_group_name_H-M_alt 'F -4 3 m'
_space_group_IT_number 216
_space_group_name_Hall 'F -4 2 3'
_cell_length_a 7.2912
_cell_length_b 7.2912
_cell_length_c 7.2912
_cell_angle_alpha 90.00
_cell_angle_beta 90.00
_cell_angle_gamma 90.00
loop_
_atom_site_label
_atom_site_fract_x
_atom_site_fract_y
_atom_site_fract_z
Gd1 0.0000 0.0000 0.0000
Y1 0.0000 0.0000 0.5000
Tm1 0.2500 0.2500 0.2500
Ru1 0.2500 0.2500 0.7500
# - ρ (g/cm³) = 8.845
# - D(E_F) (states/eV/f.u.) = 4.84
# - calculated formation energy (eV per atom) = 0.085
# - crystal system = cubic
# - raw total energy (eV per formula unit) = -33.95

No. 2
# Ce2ZrSn | Alexandria via LeMat-Bulk | PBE | optimized geometry
data_Ce2ZrSn
_chemical_formula_sum 'Ce8 Zr4 Sn4'
_space_group_name_H-M_alt 'F m -3 m'
_space_group_IT_number 225
_space_group_name_Hall '-F 4 2 3'
_cell_length_a 7.5376
_cell_length_b 7.5376
_cell_length_c 7.5376
_cell_angle_alpha 90.00
_cell_angle_beta 90.00
_cell_angle_gamma 90.00
loop_
_atom_site_label
_atom_site_fract_x
_atom_site_fract_y
_atom_site_fract_z
Ce1 0.2500 0.2500 0.2500
Zr1 0.0000 0.0000 0.0000
Sn1 0.0000 0.0000 0.5000
# - ρ (g/cm³) = 7.602
# - D(E_F) (states/eV/f.u.) = 9.61
# - calculated formation energy (eV per atom) = -0.115
# - excess energy over the best structure of this formula in the dataset (meV/atom) = 259
# - crystal system = cubic
# - raw total energy (eV per formula unit) = -24.88

No. 3
# Dy4Er3Sc2 | Alexandria via LeMat-Bulk | PBE | optimized geometry
data_Dy4Er3Sc2
_chemical_formula_sum 'Dy16 Er12 Sc8'
_space_group_name_H-M_alt 'C 1 2/c 1'
_space_group_IT_number 15
_space_group_name_Hall '-C 2yc'
_cell_length_a 16.6791
_cell_length_b 9.7590
_cell_length_c 6.6428
_cell_angle_alpha 90.00
_cell_angle_beta 92.97
_cell_angle_gamma 90.00
loop_
_atom_site_label
_atom_site_fract_x
_atom_site_fract_y
_atom_site_fract_z
Dy1 0.0171 0.1807 0.0139
Dy2 0.1874 0.3771 0.9115
Er1 0.0000 0.4936 0.7500
Er2 0.1540 0.0441 0.7409
Sc1 0.1652 0.2861 0.3945
# - ρ (g/cm³) = 7.638
# - D(E_F) (states/eV/f.u.) = 12.49
# - calculated formation energy (eV per atom) = 0.093
# - excess energy over the best structure of this formula in the dataset (meV/atom) = 0
# - crystal system = monoclinic
# - raw total energy (eV per formula unit) = -43.93